Entry 1:
# CaLaTb2S4 PBE relaxed
# * magnetization: 0.0 μB per formula unit
# * crystal system: monoclinic
# * V: 22.79 A^3/atom
# * total DFT energy (no corrections): -49.2 eV per cell
# * DOS(E_F): 3.23 states/eV/f.u.
data_CaLaTb2S4
_symmetry_space_group_name_H-M 'P 1 2/m 1'
_symmetry_Int_Tables_number 10
_symmetry_space_group_name_Hall '-P 2y'
_cell_length_a 6.9565
_cell_length_b 3.9844
_cell_length_c 6.9612
_cell_angle_alpha 90.00
_cell_angle_beta 109.09
_cell_angle_gamma 90.00
loop_
_atom_site_label
_atom_site_type_symbol
_atom_site_fract_x
_atom_site_fract_y
_atom_site_fract_z
_atom_site_occupancy
Ca1 Ca 0.0000 0.0000 0.0000 1
La1 La 0.5000 0.5000 0.0000 1
Tb1 Tb 0.0000 0.5000 0.5000 1
Tb2 Tb 0.5000 0.0000 0.5000 1
S1 S 0.2389 0.0000 0.7378 1
S2 S 0.2471 0.5000 0.2584 1

Entry 2:
# AlFe2Pb PBE relaxed
# * magnetization: 4.4 μB per formula unit
# * crystal system: tetragonal
# * energy above the lowest structure with this stoichiometry: 0.0000 eV/atom
# * E_form: 0.223 eV/atom
# * V: 17.63 A^3/atom
# * total DFT energy (no corrections): -23.5 eV per cell
# * DOS(E_F): 4.40 states/eV/f.u.
data_AlFe2Pb
_symmetry_space_group_name_H-M 'P 4 m m'
_symmetry_Int_Tables_number 99
_symmetry_space_group_name_Hall 'P 4 -2'
_cell_length_a 3.0590
_cell_length_b 3.0590
_cell_length_c 7.5366
_cell_angle_alpha 90.00
_cell_angle_beta 90.00
_cell_angle_gamma 90.00
loop_
_atom_site_label
_atom_site_type_symbol
_atom_site_fract_x
_atom_site_fract_y
_atom_site_fract_z
_atom_site_occupancy
Al1 Al 0.0000 0.0000 0.0000 1
Fe1 Fe 0.0000 0.0000 0.3420 1
Fe2 Fe 0.5000 0.5000 0.1771 1
Pb1 Pb 0.5000 0.5000 0.6118 1

Entry 3:
# CeCuPtRh PBE relaxed
# * magnetization: 0.0 μB per formula unit
# * crystal system: cubic
# * energy above the lowest structure with this stoichiometry: 0.1718 eV/atom
# * E_form: -0.509 eV/atom
# * V: 17.75 A^3/atom
# * total DFT energy (no corrections): -101.8 eV per cell
# * DOS(E_F): 3.38 states/eV/f.u.
data_CeCuPtRh
_symmetry_space_group_name_H-M 'F -4 3 m'
_symmetry_Int_Tables_number 216
_symmetry_space_group_name_Hall 'F -4 2 3'
_cell_length_a 6.5734
_cell_length_b 6.5734
_cell_length_c 6.5734
_cell_angle_alpha 90.00
_cell_angle_beta 90.00
_cell_angle_gamma 90.00
loop_
_atom_site_label
_atom_site_type_symbol
_atom_site_fract_x
_atom_site_fract_y
_atom_site_fract_z
_atom_site_occupancy
Ce1 Ce 0.0000 0.0000 0.0000 1
Cu1 Cu 0.0000 0.0000 0.5000 1
Pt1 Pt 0.2500 0.2500 0.2500 1
Rh1 Rh 0.2500 0.2500 0.7500 1

Entry 4:
# Ba2Li2Ag PBE relaxed
# * magnetization: 0.0 μB per formula unit
# * crystal system: tetragonal
# * energy above the lowest structure with this stoichiometry: 0.0314 eV/atom
# * E_form: -0.044 eV/atom
# * V: 35.41 A^3/atom
# * total DFT energy (no corrections): -21.5 eV per cell
# * DOS(E_F): 2.82 states/eV/f.u.
data_Ba2Li2Ag
_symmetry_space_group_name_H-M 'I 4/m m m'
_symmetry_Int_Tables_number 139
_symmetry_space_group_name_Hall '-I 4 2'
_cell_length_a 4.1355
_cell_length_b 4.1355
_cell_length_c 20.7069
_cell_angle_alpha 90.00
_cell_angle_beta 90.00
_cell_angle_gamma 90.00
loop_
_atom_site_label
_atom_site_type_symbol
_atom_site_fract_x
_atom_site_fract_y
_atom_site_fract_z
_atom_site_occupancy
Ba1 Ba 0.0000 0.0000 0.0956 1
Li1 Li 0.0000 0.5000 0.2500 1
Ag1 Ag 0.0000 0.0000 0.5000 1

Entry 5:
# SmMgS PBE relaxed
# * magnetization: 0.0 μB per formula unit
# * crystal system: trigonal
# * V: 25.99 A^3/atom
# * total DFT energy (no corrections): -81.9 eV per cell
# * DOS(E_F): 1.53 states/eV/f.u.
data_SmMgS
_symmetry_space_group_name_H-M 'R -3 m'
_symmetry_Int_Tables_number 166
_symmetry_space_group_name_Hall '-R 3 2"'
_cell_length_a 4.8677
_cell_length_b 4.8677
_cell_length_c 22.8021
_cell_angle_alpha 90.00
_cell_angle_beta 90.00
_cell_angle_gamma 120.00
loop_
_atom_site_label
_atom_site_type_symbol
_atom_site_fract_x
_atom_site_fract_y
_atom_site_fract_z
_atom_site_occupancy
Sm1 Sm 0.0000 0.0000 0.0925 1
Mg1 Mg 0.0000 0.0000 0.3282 1
S1 S 0.0000 0.0000 0.2169 1

Entry 6:
# RbZn4Sn12 PBE relaxed
# * magnetization: 0.0 μB per formula unit
# * crystal system: cubic
# * E_form: 0.043 eV/atom
# * V: 27.37 A^3/atom
# * total DFT energy (no corrections): -106.7 eV per cell
# * DOS(E_F): 6.58 states/eV/f.u.
data_RbZn4Sn12
_symmetry_space_group_name_H-M 'I m -3'
_symmetry_Int_Tables_number 204
_symmetry_space_group_name_Hall '-I 2 2 3'
_cell_length_a 9.7636
_cell_length_b 9.7636
_cell_length_c 9.7636
_cell_angle_alpha 90.00
_cell_angle_beta 90.00
_cell_angle_gamma 90.00
loop_
_atom_site_label
_atom_site_type_symbol
_atom_site_fract_x
_atom_site_fract_y
_atom_site_fract_z
_atom_site_occupancy
Rb1 Rb 0.0000 0.0000 0.0000 1
Zn1 Zn 0.2500 0.2500 0.2500 1
Sn1 Sn 0.0000 0.3510 0.1586 1

Entry 7:
# PmSmNiI PBE relaxed
# * magnetization: 0.0 μB per formula unit
# * crystal system: trigonal
# * V: 29.11 A^3/atom
# * total DFT energy (no corrections): -58.4 eV per cell
# * DOS(E_F): 2.82 states/eV/f.u.
data_PmSmNiI
_symmetry_space_group_name_H-M 'R 3 m'
_symmetry_Int_Tables_number 160
_symmetry_space_group_name_Hall 'R 3 -2"'
_cell_length_a 4.0988
_cell_length_b 4.0988
_cell_length_c 24.0055
_cell_angle_alpha 90.00
_cell_angle_beta 90.00
_cell_angle_gamma 120.00
loop_
_atom_site_label
_atom_site_type_symbol
_atom_site_fract_x
_atom_site_fract_y
_atom_site_fract_z
_atom_site_occupancy
Pm1 Pm 0.0000 0.0000 0.0000 1
Sm1 Sm 0.0000 0.0000 0.2125 1
Ni1 Ni 0.0000 0.0000 0.6060 1
I1 I 0.0000 0.0000 0.7742 1

Entry 8:
# EuGd2Th PBE relaxed
# * magnetization: 8.9 μB per formula unit
# * crystal system: cubic
# * energy above the lowest structure with this stoichiometry: 0.1292 eV/atom
# * E_form: 0.184 eV/atom
# * V: 33.94 A^3/atom
# * total DFT energy (no corrections): -180.5 eV per cell
# * DOS(E_F): 5.47 states/eV/f.u.
data_EuGd2Th
_symmetry_space_group_name_H-M 'F m -3 m'
_symmetry_Int_Tables_number 225
_symmetry_space_group_name_Hall '-F 4 2 3'
_cell_length_a 8.1584
_cell_length_b 8.1584
_cell_length_c 8.1584
_cell_angle_alpha 90.00
_cell_angle_beta 90.00
_cell_angle_gamma 90.00
loop_
_atom_site_label
_atom_site_type_symbol
_atom_site_fract_x
_atom_site_fract_y
_atom_site_fract_z
_atom_site_occupancy
Eu1 Eu 0.0000 0.0000 0.0000 1
Gd1 Gd 0.2500 0.2500 0.2500 1
Th1 Th 0.0000 0.0000 0.5000 1